Density functional theory data (PBE-GGA) for TcNiP2 after structural relaxation.

Structure (CIF):
```
data_TcNiP2
_space_group_name_H-M_alt 'P 1'
_space_group_IT_number 1
_cell_length_a 4.022
_cell_length_b 4.022
_cell_length_c 4.953
_cell_angle_alpha 102.27
_cell_angle_beta 102.27
_cell_angle_gamma 45.62
loop_
_space_group_symop_operation_xyz
'x,y,z'
loop_
_atom_site_label
_atom_site_fract_x
_atom_site_fract_y
_atom_site_fract_z
Tc1 0.000 0.000 0.000
Ni1 0.208 0.208 0.549
P1 0.511 0.511 0.644
P2 0.735 0.735 0.203
```

Properties
excess energy over the best structure of this formula in the dataset: 45.1 meV/atom